Arrangement i

# Nd2Ga2O5

Nd2Ga2O5 after structural relaxation (PBE-GGA, OQMD via LeMat-Bulk).

Magnetic moment = 0.0 μB/f.u.
Space group = P4/mmm, No. 123

Lattice parameters (Å, degrees): 7.026 3.935 3.935 90.00 90.00 90.00
Fractional coordinates of all 9 atoms:
Ga 0.214 0.500 0.500
Ga 0.786 0.500 0.500
Nd 0.000 0.000 0.000
Nd 0.500 0.000 0.000
O 0.239 0.500 0.000
O 0.761 0.500 0.000
O 0.239 0.000 0.500
O 0.761 0.000 0.500
O 0.500 0.500 0.500

Arrangement ii

# Nd2Ga2O5

Nd2Ga2O5 after structural relaxation (PBE-GGA, OQMD via LeMat-Bulk).

Magnetic moment = 0.0 μB/f.u.
Space group = P4/mmm, No. 123

Lattice parameters (Å, degrees): 9.255 3.942 3.942 90.00 90.00 90.00
Fractional coordinates of all 9 atoms:
Ga 0.000 0.000 0.000
Ga 0.500 0.000 0.000
Nd 0.246 0.500 0.500
Nd 0.754 0.500 0.500
O 0.133 0.500 0.000
O 0.867 0.500 0.000
O 0.133 0.000 0.500
O 0.867 0.000 0.500
O 0.500 0.500 0.500

Relative energies in meV per atom: arrangement i 0; arrangement ii 430

Arrangement i

# NdGa2PdPt

NdGa2PdPt after structural relaxation (PBE-GGA, OQMD via LeMat-Bulk).

Magnetic moment = 0.0 μB/f.u.
Space group = P4/nmm, No. 129

Lattice parameters (Å, degrees): 4.250 4.250 10.706 90.00 90.00 90.00
Fractional coordinates of all 10 atoms:
Ga 0.500 0.000 0.133
Ga 0.000 0.000 0.500
Ga 0.500 0.500 0.500
Ga 0.000 0.500 0.867
Nd 0.000 0.500 0.254
Nd 0.500 0.000 0.746
Pd 0.500 0.000 0.366
Pd 0.000 0.500 0.634
Pt 0.000 0.000 0.000
Pt 0.500 0.500 0.000

Arrangement ii

# NdGa2PdPt

NdGa2PdPt after structural relaxation (PBE-GGA, OQMD via LeMat-Bulk).

Magnetic moment = 0.0 μB/f.u.
Space group = P4/nmm, No. 129

Lattice parameters (Å, degrees): 4.297 4.297 10.528 90.00 90.00 90.00
Fractional coordinates of all 10 atoms:
Ga 0.500 0.000 0.129
Ga 0.000 0.000 0.500
Ga 0.500 0.500 0.500
Ga 0.000 0.500 0.871
Nd 0.000 0.500 0.257
Nd 0.500 0.000 0.743
Pd 0.000 0.000 0.000
Pd 0.500 0.500 0.000
Pt 0.500 0.000 0.365
Pt 0.000 0.500 0.635

Relative energies in meV per atom: arrangement i 47; arrangement ii 0

Arrangement i

# NdGaSiPt2

NdGaSiPt2 after structural relaxation (PBE-GGA, OQMD via LeMat-Bulk).

Magnetic moment = 0.0 μB/f.u.
Space group = P4/nmm, No. 129

Lattice parameters (Å, degrees): 4.288 4.288 10.178 90.00 90.00 90.00
Fractional coordinates of all 10 atoms:
Ga 0.000 0.500 0.138
Ga 0.500 0.000 0.862
Nd 0.500 0.000 0.261
Nd 0.000 0.500 0.739
Pt 0.000 0.000 0.000
Pt 0.500 0.500 0.000
Pt 0.000 0.500 0.386
Pt 0.500 0.000 0.614
Si 0.000 0.000 0.500
Si 0.500 0.500 0.500

Arrangement ii

# NdGaSiPt2

NdGaSiPt2 after structural relaxation (PBE-GGA, OQMD via LeMat-Bulk).

Magnetic moment = 0.0 μB/f.u.
Space group = P4/nmm, No. 129

Lattice parameters (Å, degrees): 4.276 4.276 10.192 90.00 90.00 90.00
Fractional coordinates of all 10 atoms:
Ga 0.000 0.000 0.500
Ga 0.500 0.500 0.500
Nd 0.000 0.500 0.251
Nd 0.500 0.000 0.749
Pt 0.000 0.000 0.000
Pt 0.500 0.500 0.000
Pt 0.500 0.000 0.358
Pt 0.000 0.500 0.642
Si 0.500 0.000 0.126
Si 0.000 0.500 0.874

Relative energies in meV per atom: arrangement i 43; arrangement ii 0

Arrangement i

# GaNi9

GaNi9 after structural relaxation (PBE-GGA, OQMD via LeMat-Bulk).

Magnetic moment = 4.8 μB/f.u.
Space group = Pmmn, No. 59

Lattice parameters (Å, degrees): 2.496 3.488 38.612 90.00 90.00 90.00
Fractional coordinates of all 20 atoms:
Ga 0.000 0.000 0.194
Ga 0.500 0.500 0.806
Ni 0.500 0.500 0.226
Ni 0.000 0.000 0.260
Ni 0.500 0.500 0.291
Ni 0.000 0.000 0.323
Ni 0.500 0.500 0.356
Ni 0.000 0.000 0.388
Ni 0.500 0.500 0.419
Ni 0.000 0.000 0.452
Ni 0.500 0.500 0.484
Ni 0.000 0.000 0.516
Ni 0.500 0.500 0.548
Ni 0.000 0.000 0.581
Ni 0.500 0.500 0.612
Ni 0.000 0.000 0.644
Ni 0.500 0.500 0.677
Ni 0.000 0.000 0.709
Ni 0.500 0.500 0.740
Ni 0.000 0.000 0.774

Arrangement ii

# GaNi9

GaNi9 after structural relaxation (PBE-GGA, OQMD via LeMat-Bulk).

Magnetic moment = 3.8 μB/f.u.
Space group = P4/nmm, No. 129

Lattice parameters (Å, degrees): 2.512 2.512 47.695 90.00 90.00 90.00
Fractional coordinates of all 20 atoms:
Ga 0.000 0.500 0.153
Ga 0.500 0.000 0.847
Ni 0.500 0.000 0.193
Ni 0.000 0.500 0.229
Ni 0.500 0.000 0.264
Ni 0.000 0.500 0.301
Ni 0.500 0.000 0.337
Ni 0.000 0.500 0.373
Ni 0.500 0.000 0.410
Ni 0.000 0.500 0.446
Ni 0.500 0.000 0.482
Ni 0.000 0.500 0.518
Ni 0.500 0.000 0.554
Ni 0.000 0.500 0.590
Ni 0.500 0.000 0.627
Ni 0.000 0.500 0.663
Ni 0.500 0.000 0.699
Ni 0.000 0.500 0.736
Ni 0.500 0.000 0.771
Ni 0.000 0.500 0.807

Relative energies in meV per atom: arrangement i 0; arrangement ii 30

Arrangement i

# GaNi7

GaNi7 after structural relaxation (PBE-GGA, OQMD via LeMat-Bulk).

Magnetic moment = 1.2 μB/f.u.
Space group = Pmmn, No. 59

Lattice parameters (Å, degrees): 2.508 3.509 33.647 90.00 90.00 90.00
Fractional coordinates of all 16 atoms:
Ga 0.000 0.000 0.222
Ga 0.500 0.500 0.778
Ni 0.500 0.500 0.258
Ni 0.000 0.000 0.298
Ni 0.500 0.500 0.334
Ni 0.000 0.000 0.371
Ni 0.500 0.500 0.408
Ni 0.000 0.000 0.445
Ni 0.500 0.500 0.482
Ni 0.000 0.000 0.518
Ni 0.500 0.500 0.555
Ni 0.000 0.000 0.592
Ni 0.500 0.500 0.629
Ni 0.000 0.000 0.666
Ni 0.500 0.500 0.702
Ni 0.000 0.000 0.742

Arrangement ii

# GaNi7

GaNi7 after structural relaxation (PBE-GGA, OQMD via LeMat-Bulk).

Magnetic moment = 1.3 μB/f.u.
Space group = P4mm, No. 99

Lattice parameters (Å, degrees): 2.664 2.664 37.326 90.00 90.00 90.00
Fractional coordinates of all 16 atoms:
Ga 0.500 0.500 0.181
Ga 0.000 0.000 0.819
Ni 0.000 0.000 0.225
Ni 0.500 0.500 0.267
Ni 0.000 0.000 0.309
Ni 0.500 0.500 0.351
Ni 0.000 0.000 0.394
Ni 0.500 0.500 0.436
Ni 0.000 0.000 0.479
Ni 0.500 0.500 0.521
Ni 0.000 0.000 0.563
Ni 0.500 0.500 0.606
Ni 0.000 0.000 0.649
Ni 0.500 0.500 0.691
Ni 0.000 0.000 0.733
Ni 0.500 0.500 0.775

Relative energies in meV per atom: arrangement i 0; arrangement ii 48

Arrangement i

# GaNiPb

GaNiPb after structural relaxation (PBE-GGA, OQMD via LeMat-Bulk).

Magnetic moment = 0.0 μB/f.u.
Space group = F-43m, No. 216

Lattice parameters (Å, degrees): 4.540 4.540 4.540 60.00 60.00 60.00
Fractional coordinates of all 3 atoms:
Ga 0.250 0.250 0.250
Ni 0.750 0.750 0.750
Pb 0.000 0.000 0.000

Arrangement ii

# GaNiPb

GaNiPb after structural relaxation (PBE-GGA, OQMD via LeMat-Bulk).

Magnetic moment = 0.0 μB/f.u.
Space group = F-43m, No. 216

Lattice parameters (Å, degrees): 4.360 4.360 4.360 60.00 60.00 60.00
Fractional coordinates of all 3 atoms:
Ga 0.250 0.250 0.250
Ni 0.000 0.000 0.000
Pb 0.750 0.750 0.750

Relative energies in meV per atom: arrangement i 487; arrangement ii 0

Arrangement i

# ScGaNiPt

ScGaNiPt after structural relaxation (PBE-GGA, OQMD via LeMat-Bulk).

Magnetic moment = 0.0 μB/f.u.
Space group = P-6m2, No. 187

Lattice parameters (Å, degrees): 4.206 4.206 8.407 90.00 90.00 120.00
Fractional coordinates of all 8 atoms:
Ga 0.000 0.000 0.232
Ga 0.000 0.000 0.768
Ni 0.667 0.333 0.157
Ni 0.667 0.333 0.843
Pt 0.333 0.667 0.331
Pt 0.333 0.667 0.669
Sc 0.333 0.667 0.000
Sc 0.667 0.333 0.500

Arrangement ii

# ScGaNiPt

ScGaNiPt after structural relaxation (PBE-GGA, OQMD via LeMat-Bulk).

Magnetic moment = 0.0 μB/f.u.
Space group = P6_3mc, No. 186

Lattice parameters (Å, degrees): 4.218 4.218 8.332 90.00 90.00 120.00
Fractional coordinates of all 8 atoms:
Ga 0.000 0.000 0.492
Ga 0.000 0.000 0.992
Ni 0.333 0.667 0.416
Ni 0.667 0.333 0.916
Pt 0.333 0.667 0.091
Pt 0.667 0.333 0.591
Sc 0.667 0.333 0.250
Sc 0.333 0.667 0.750

Relative energies in meV per atom: arrangement i 13; arrangement ii 0

Arrangement i

# ScGaNiPt

ScGaNiPt after structural relaxation (PBE-GGA, OQMD via LeMat-Bulk).

Magnetic moment = 0.0 μB/f.u.
Space group = F-43m, No. 216

Lattice parameters (Å, degrees): 4.449 4.449 4.449 60.00 60.00 60.00
Fractional coordinates of all 4 atoms:
Ga 0.000 0.000 0.000
Ni 0.750 0.750 0.750
Pt 0.500 0.500 0.500
Sc 0.250 0.250 0.250

Arrangement ii

# ScGaNiPt

ScGaNiPt after structural relaxation (PBE-GGA, OQMD via LeMat-Bulk).

Magnetic moment = 0.0 μB/f.u.
Space group = P-3m1, No. 164

Lattice parameters (Å, degrees): 4.203 4.203 8.404 90.00 90.00 120.00
Fractional coordinates of all 8 atoms:
Ga 0.000 0.000 0.000
Ga 0.000 0.000 0.500
Ni 0.333 0.667 0.075
Ni 0.667 0.333 0.925
Pt 0.333 0.667 0.395
Pt 0.667 0.333 0.605
Sc 0.667 0.333 0.238
Sc 0.333 0.667 0.762

Relative energies in meV per atom: arrangement i 231; arrangement ii 0

Arrangement i

# YGaNiPt

YGaNiPt after structural relaxation (PBE-GGA, OQMD via LeMat-Bulk).

Magnetic moment = 0.0 μB/f.u.
Space group = P6_3mc, No. 186

Lattice parameters (Å, degrees): 4.290 4.290 8.974 90.00 90.00 120.00
Fractional coordinates of all 8 atoms:
Ga 0.000 0.000 0.006
Ga 0.000 0.000 0.506
Ni 0.667 0.333 0.073
Ni 0.333 0.667 0.573
Pt 0.667 0.333 0.422
Pt 0.333 0.667 0.922
Y 0.333 0.667 0.250
Y 0.667 0.333 0.750

Arrangement ii

# YGaNiPt

YGaNiPt after structural relaxation (PBE-GGA, OQMD via LeMat-Bulk).

Magnetic moment = 0.0 μB/f.u.
Space group = P-3m1, No. 164

Lattice parameters (Å, degrees): 4.278 4.278 9.021 90.00 90.00 120.00
Fractional coordinates of all 8 atoms:
Ga 0.000 0.000 0.000
Ga 0.000 0.000 0.500
Ni 0.667 0.333 0.435
Ni 0.333 0.667 0.565
Pt 0.667 0.333 0.093
Pt 0.333 0.667 0.907
Y 0.333 0.667 0.259
Y 0.667 0.333 0.741

Arrangement iii

# YGaNiPt

YGaNiPt after structural relaxation (PBE-GGA, OQMD via LeMat-Bulk).

Magnetic moment = 0.0 μB/f.u.
Space group = F-43m, No. 216

Lattice parameters (Å, degrees): 4.602 4.602 4.602 60.00 60.00 60.00
Fractional coordinates of all 4 atoms:
Ga 0.000 0.000 0.000
Ni 0.750 0.750 0.750
Pt 0.250 0.250 0.250
Y 0.500 0.500 0.500

Relative energies in meV per atom: arrangement i 0; arrangement ii 15; arrangement iii 157

Arrangement i

# Ga2ReNi

Ga2ReNi after structural relaxation (PBE-GGA, OQMD via LeMat-Bulk).

Magnetic moment = 0.0 μB/f.u.
Space group = Amm2, No. 38

Lattice parameters (Å, degrees): 4.308 5.472 5.472 59.37 90.00 90.00
Fractional coordinates of all 8 atoms:
Ga 0.500 0.173 0.173
Ga 0.500 0.659 0.186
Ga 0.500 0.186 0.659
Ga 0.000 0.820 0.820
Ni 0.000 0.332 0.332
Ni 0.500 0.676 0.676
Re 0.000 0.838 0.316
Re 0.000 0.316 0.838

Arrangement ii

# Ga2ReNi

Ga2ReNi after structural relaxation (PBE-GGA, OQMD via LeMat-Bulk).

Magnetic moment = 0.0 μB/f.u.
Space group = Ama2, No. 40

Lattice parameters (Å, degrees): 4.484 5.413 5.413 121.99 90.00 90.00
Fractional coordinates of all 8 atoms:
Ga 0.750 0.819 0.180
Ga 0.750 0.819 0.657
Ga 0.250 0.180 0.819
Ga 0.250 0.657 0.819
Ni 0.250 0.697 0.346
Ni 0.750 0.346 0.697
Re 0.750 0.306 0.176
Re 0.250 0.176 0.306

Relative energies in meV per atom: arrangement i 49; arrangement ii 0

Arrangement i

# Ga2ReNi

Ga2ReNi after structural relaxation (PBE-GGA, OQMD via LeMat-Bulk).

Magnetic moment = 0.0 μB/f.u.
Space group = Cmcm, No. 63

Lattice parameters (Å, degrees): 5.221 5.221 4.313 90.00 90.00 113.42
Fractional coordinates of all 8 atoms:
Ga 0.153 0.373 0.250
Ga 0.627 0.847 0.250
Ga 0.373 0.153 0.750
Ga 0.847 0.627 0.750
Ni 0.654 0.346 0.250
Ni 0.346 0.654 0.750
Re 0.133 0.867 0.250
Re 0.867 0.133 0.750

Arrangement ii

# Ga2ReNi

Ga2ReNi after structural relaxation (PBE-GGA, OQMD via LeMat-Bulk).

Magnetic moment = 0.0 μB/f.u.
Space group = F-43m, No. 216

Lattice parameters (Å, degrees): 4.281 4.281 4.281 60.00 60.00 60.00
Fractional coordinates of all 4 atoms:
Ga 0.250 0.250 0.250
Ga 0.500 0.500 0.500
Ni 0.000 0.000 0.000
Re 0.750 0.750 0.750

Relative energies in meV per atom: arrangement i 0; arrangement ii 321